Record 1
First-principles (GGA-PBEsol) data for a geometry-optimized ScFe3Se structure, as listed in Alexandria via LeMat-Bulk.

Cell and atoms, written as CIF:
```
data_ScFe3Se
_chemical_formula_sum 'Sc1 Fe3 Se1'
_cell_length_a 4.313
_cell_length_b 4.313
_cell_length_c 4.313
_cell_angle_alpha 90.00
_cell_angle_beta 90.00
_cell_angle_gamma 90.00
_symmetry_space_group_name_H-M 'P m -3 m'
_symmetry_Int_Tables_number 221
_symmetry_space_group_name_Hall '-P 4 2 3'
loop_
_atom_site_label
_atom_site_fract_x
_atom_site_fract_y
_atom_site_fract_z
Sc1 0.000 0.000 0.000
Fe1 0.000 0.500 0.500
Se1 0.500 0.500 0.500
```

Results
uncorrected formation energy: 1.65 eV per formula unit


Record 2
First-principles (GGA-PBEsol) data for a geometry-optimized ScFe2Se structure, as listed in Alexandria via LeMat-Bulk.

Cell and atoms, written as CIF:
```
data_ScFe2Se
_chemical_formula_sum 'Sc1 Fe2 Se1'
_cell_length_a 3.331
_cell_length_b 3.331
_cell_length_c 5.318
_cell_angle_alpha 90.00
_cell_angle_beta 90.00
_cell_angle_gamma 90.00
_symmetry_space_group_name_H-M 'P 4/m m m'
_symmetry_Int_Tables_number 123
_symmetry_space_group_name_Hall '-P 4 2'
loop_
_atom_site_label
_atom_site_fract_x
_atom_site_fract_y
_atom_site_fract_z
Sc1 0.000 0.000 0.000
Fe1 0.500 0.500 0.271
Se1 0.000 0.000 0.500
```

Results
uncorrected formation energy: -0.50 eV per formula unit


Record 3
First-principles (GGA-PBEsol) data for a geometry-optimized ScFeSe2 structure, as listed in Alexandria via LeMat-Bulk.

Cell and atoms, written as CIF:
```
data_ScFeSe2
_chemical_formula_sum 'Sc1 Fe1 Se2'
_cell_length_a 4.493
_cell_length_b 4.493
_cell_length_c 3.280
_cell_angle_alpha 90.00
_cell_angle_beta 90.00
_cell_angle_gamma 90.00
_symmetry_space_group_name_H-M 'P 4/m m m'
_symmetry_Int_Tables_number 123
_symmetry_space_group_name_Hall '-P 4 2'
loop_
_atom_site_label
_atom_site_fract_x
_atom_site_fract_y
_atom_site_fract_z
Sc1 0.000 0.000 0.000
Fe1 0.500 0.500 0.000
Se1 0.000 0.500 0.500
```

Results
uncorrected formation energy: -2.60 eV per formula unit


Record 4
First-principles (GGA-PBEsol) data for a geometry-optimized Sc2FeSe structure, as listed in Alexandria via LeMat-Bulk.

Cell and atoms, written as CIF:
```
data_Sc2FeSe
_chemical_formula_sum 'Sc8 Fe4 Se4'
_cell_length_a 6.327
_cell_length_b 6.327
_cell_length_c 6.327
_cell_angle_alpha 90.00
_cell_angle_beta 90.00
_cell_angle_gamma 90.00
_symmetry_space_group_name_H-M 'F -4 3 m'
_symmetry_Int_Tables_number 216
_symmetry_space_group_name_Hall 'F -4 2 3'
loop_
_atom_site_label
_atom_site_fract_x
_atom_site_fract_y
_atom_site_fract_z
Sc1 0.000 0.000 0.000
Sc2 0.250 0.250 0.250
Fe1 0.250 0.250 0.750
Se1 0.000 0.000 0.500
```

Results
uncorrected formation energy: -0.21 eV per formula unit


Record 5
First-principles (GGA-PBEsol) data for a geometry-optimized ScFeSi structure, as listed in Alexandria via LeMat-Bulk.

Cell and atoms, written as CIF:
```
data_ScFeSi
_chemical_formula_sum 'Sc4 Fe4 Si4'
_cell_length_a 6.474
_cell_length_b 4.027
_cell_length_c 6.531
_cell_angle_alpha 90.00
_cell_angle_beta 90.00
_cell_angle_gamma 90.00
_symmetry_space_group_name_H-M 'P n m a'
_symmetry_Int_Tables_number 62
_symmetry_space_group_name_Hall '-P 2ac 2n'
loop_
_atom_site_label
_atom_site_fract_x
_atom_site_fract_y
_atom_site_fract_z
Sc1 0.015 0.250 0.190
Fe1 0.153 0.750 0.438
Si1 0.200 0.250 0.609
```

Results
uncorrected formation energy: -2.25 eV per formula unit


Record 6
First-principles (GGA-PBEsol) data for a geometry-optimized Sc2Fe3Si5 structure, as listed in Alexandria via LeMat-Bulk.

Cell and atoms, written as CIF:
```
data_Sc2Fe3Si5
_chemical_formula_sum 'Sc8 Fe12 Si20'
_cell_length_a 10.052
_cell_length_b 10.052
_cell_length_c 5.215
_cell_angle_alpha 90.00
_cell_angle_beta 90.00
_cell_angle_gamma 90.00
_symmetry_space_group_name_H-M 'P 4/m n c'
_symmetry_Int_Tables_number 128
_symmetry_space_group_name_Hall '-P 4 2n'
loop_
_atom_site_label
_atom_site_fract_x
_atom_site_fract_y
_atom_site_fract_z
Sc1 0.068 0.236 0.000
Fe1 0.000 0.500 0.250
Fe2 0.122 0.856 0.500
Si1 0.000 0.000 0.247
Si2 0.029 0.318 0.500
Si3 0.178 0.678 0.250
```

Results
uncorrected formation energy: -7.92 eV per formula unit


Record 7
First-principles (GGA-PBEsol) data for a geometry-optimized Sc2FeSi2 structure, as listed in Alexandria via LeMat-Bulk.

Cell and atoms, written as CIF:
```
data_Sc2FeSi2
_chemical_formula_sum 'Sc8 Fe4 Si8'
_cell_length_a 9.779
_cell_length_b 3.941
_cell_length_c 9.325
_cell_angle_alpha 90.00
_cell_angle_beta 118.65
_cell_angle_gamma 90.00
_symmetry_space_group_name_H-M 'C 1 2/m 1'
_symmetry_Int_Tables_number 12
_symmetry_space_group_name_Hall '-C 2y'
loop_
_atom_site_label
_atom_site_fract_x
_atom_site_fract_y
_atom_site_fract_z
Sc1 0.001 0.000 0.172
Sc2 0.185 0.000 0.608
Fe1 0.229 0.500 0.874
Si1 0.007 0.500 0.373
Si2 0.147 0.500 0.066
```

Results
uncorrected formation energy: -4.20 eV per formula unit


Record 8
First-principles (GGA-PBEsol) data for a geometry-optimized ScFeSi structure, as listed in Alexandria via LeMat-Bulk.

Cell and atoms, written as CIF:
```
data_ScFeSi
_chemical_formula_sum 'Sc1 Fe1 Si1'
_cell_length_a 3.1590
_cell_length_b 3.1590
_cell_length_c 5.3661
_cell_angle_alpha 90.00
_cell_angle_beta 90.00
_cell_angle_gamma 120.00
_symmetry_space_group_name_H-M 'P 3 m 1'
_symmetry_Int_Tables_number 156
_symmetry_space_group_name_Hall 'P 3 -2"'
loop_
_atom_site_label
_atom_site_fract_x
_atom_site_fract_y
_atom_site_fract_z
Sc1 0.0000 0.0000 0.0000
Fe1 0.6667 0.3333 0.3691
Si1 0.3333 0.6667 0.6176
```

Results
uncorrected formation energy: -0.37 eV per formula unit